Below is a geometry-optimized RbBiCl4 structure, with properties calculated at the PBE level.

Results
* final energy: -0.1247 Ha/atom
* V: 43.00 Å³/atom
* SG: C2/c, No. 15
* density of states at the Fermi level: 0.0 states/eV/f.u.

abc: 7.2659 8.6218 11.0469
angles: 120.80 118.26 68.25
With the nearest neighbours (Å) after each atom.
Atoms (fractional coordinates):
Cl1 0.4634 0.7576 0.8928  2 Bi 2.76-2.92
Cl2 0.3723 0.0392 0.6637  1 Bi 2.61
Cl3 0.5366 0.2424 0.1072  2 Bi 2.76-2.92
Cl4 0.7914 0.6246 0.6637  1 Bi 2.61
Bi1 0.3152 0.0652 0.1303  6 Cl 2.61-2.92
Cl5 0.9294 0.1352 0.8928  2 Bi 2.76-2.92
Bi2 0.6848 0.9348 0.8697  6 Cl 2.61-2.92
Rb1 0.4237 0.6737 0.3475  6 Cl 3.35-3.40
Cl6 0.2086 0.3754 0.3363  1 Bi 2.61
Rb2 0.5763 0.3263 0.6525  6 Cl 3.35-3.40
Cl7 0.6277 0.9608 0.3363  1 Bi 2.61
Cl8 0.0706 0.8648 0.1072  2 Bi 2.76-2.92